# Rb3TeH4 (PBE, relaxed)
data_Rb3TeH4
_chemical_formula_sum 'Rb6 Te2 H8'
_space_group_name_H-M_alt 'C 1 2/m 1'
_space_group_IT_number 12
_space_group_name_Hall '-C 2y'
_cell_length_a 20.043
_cell_length_b 4.645
_cell_length_c 5.854
_cell_angle_alpha 90.00
_cell_angle_beta 106.16
_cell_angle_gamma 90.00
loop_
_atom_site_label
_atom_site_type_symbol
_atom_site_fract_x
_atom_site_fract_y
_atom_site_fract_z
Rb1 Rb 0.000 0.000 0.000
Rb2 Rb 0.150 0.000 0.645
Te1 Te 0.000 0.500 0.500
H1 H 0.101 0.500 0.965
H2 H 0.130 0.500 0.085
# DFT total energy   -21.989 eV per formula unit